(1)
Compound: Rb2HRh
Source: Alexandria
Functional: PBE
Structure: relaxed

E above lowest polymorph = 695 meV/atom

a b c (Å): 7.5581 7.5581 7.5581
angles (deg): 90.00 90.00 90.00
Space group Fm-3m (No. 225)
One atom of each set of equivalent atoms:
Rb: 0.2500 0.2500 0.2500 (multiplicity 8)
H: 0.0000 0.0000 0.0000 (multiplicity 4)
Rh: 0.0000 0.0000 0.5000 (multiplicity 4)

(2)
Compound: YTm2ZrAs4
Source: Alexandria
Functional: PBE
Structure: relaxed

Formation enthalpy at 0 K = -1.4173 eV per atom

a b c (Å): 6.9601 4.0167 6.9639
angles (deg): 90.00 109.30 90.00
Space group P2/m (No. 10)
One atom of each set of equivalent atoms:
Y: 0.0000 0.0000 0.0000 (multiplicity 1)
Tm: 0.5000 0.0000 0.5000 (multiplicity 1)
Tm: 0.5000 0.5000 0.0000 (multiplicity 1)
Zr: 0.0000 0.5000 0.5000 (multiplicity 1)
As: 0.2445 0.0000 0.7417 (multiplicity 2)
As: 0.2490 0.5000 0.2567 (multiplicity 2)